Entry from Alexandria: an optimized crystal structure of V2ZnGaO8 (PBE with a Hubbard U).

The value obtained for the total energy is -152.84 eV/cell. For the total magnetization, the calculation gives 2.11 Bohr magnetons per cell. The value obtained for the theoretical density is 4.1 Mg/m³.

The structure belongs to space group I-4m2 (No. 119); the cell edges are 6.2482, 6.2482 and 7.5271 Å and the angles 90.00°, 90.00° and 90.00°. The distinct sites, in fractional coordinates, are V at (0.0000, 0.0000, 0.0000), V at (0.0000, 0.5000, 0.2500), Zn at (0.0000, 0.0000, 0.5000), Ga at (0.0000, 0.5000, 0.7500), O at (0.0000, 0.2310, 0.8670) and O at (0.0000, 0.2749, 0.3833).